The following is a GGA-PBE calculation of crystalline BaGa3Tc at its relaxed geometry, from Alexandria via LeMat-Bulk.

Cell lengths 21.1841, 9.3536, 9.3536 Å; angles 157.01, 157.75, 22.25 degrees
Fractional positions:
Ga 0.3637 0.3885 0.6115
Ga 0.0549 0.2383 0.7617
Ga 0.1464 0.7935 0.2065
Ga 0.8536 0.2065 0.7935
Ga 0.9451 0.7617 0.2383
Ga 0.6363 0.6115 0.3885
Tc 0.6820 0.9613 0.0387
Tc 0.3180 0.0387 0.9613
Ba 0.3134 0.7859 0.2141
Ba 0.6866 0.2141 0.7859

Properties
Polymorph energy (0 for the lowest one) (meV per atom): 370.4
Electronic total energy (eV for the cell shown): -43.3
Energy of formation from the pure elements (meV per atom): -58


The following is a GGA-PBE calculation of crystalline BaGa3Tc at its relaxed geometry, from Alexandria via LeMat-Bulk.

Cell lengths 24.0289, 7.0922, 9.8582 Å; angles 90.00, 162.28, 90.00 degrees
Fractional positions:
Tc 0.3783 0.8362 0.9017
Tc 0.1217 0.3362 0.5983
Tc 0.8783 0.6638 0.4017
Tc 0.6217 0.1638 0.0983
Ga 0.1245 0.7645 0.1382
Ga 0.6245 0.7355 0.6382
Ga 0.7238 0.4431 0.1960
Ga 0.3755 0.2645 0.3618
Ga 0.2238 0.0569 0.6960
Ga 0.0891 0.4154 0.7891
Ga 0.9109 0.5846 0.2109
Ga 0.8755 0.2355 0.8618
Ga 0.5891 0.0846 0.2891
Ga 0.2762 0.5569 0.8040
Ga 0.7762 0.9431 0.3040
Ga 0.4109 0.9154 0.7109
Ba 0.6675 0.2107 0.7761
Ba 0.1675 0.2893 0.2761
Ba 0.3325 0.7893 0.2239
Ba 0.8325 0.7107 0.7239

Properties
Polymorph energy (0 for the lowest one) (meV per atom): 252.3
Electronic total energy (eV for the cell shown): -89.0
Energy of formation from the pure elements (meV per atom): -176


The following is a GGA-PBE calculation of crystalline BaGa3Tc at its relaxed geometry, from Alexandria via LeMat-Bulk.

Cell lengths 6.9178, 6.9185, 4.9655 Å; angles 90.00, 90.00, 90.00 degrees
Fractional positions:
Ba 0.3279 0.4796 0.8058
Ba 0.8279 0.9796 0.8059
Tc 0.3279 0.9795 0.3843
Tc 0.8279 0.4795 0.2275
Ga 0.0778 0.2294 0.3058
Ga 0.3280 0.9797 0.8777
Ga 0.0779 0.7295 0.3058
Ga 0.5778 0.2295 0.3058
Ga 0.5778 0.7294 0.3058
Ga 0.8280 0.4798 0.7341

Properties
Polymorph energy (0 for the lowest one) (meV per atom): 0.0
Electronic total energy (eV for the cell shown): -47.0
Energy of formation from the pure elements (meV per atom): -429


The following is a GGA-PBE calculation of crystalline BaTlGa2Tc at its relaxed geometry, from Alexandria via LeMat-Bulk.

Cell lengths 4.9702, 4.9702, 5.3167 Å; angles 90.00, 90.00, 90.00 degrees
Fractional positions:
Ga 0.5000 0.0000 0.0000
Ga 0.0000 0.5000 0.0000
Ba 0.5000 0.5000 0.5000
Tc 0.0000 0.0000 0.0000
Tl 0.0000 0.0000 0.5000

Properties
Electronic total energy (eV for the cell shown): -21.9
Energy of formation from the pure elements (meV per atom): -245